# LiLa2BiIr | the Alexandria database | GGA-PBE | relaxed
data_LiLa2BiIr
_chemical_formula_sum 'Li1 La2 Bi1 Ir1'
_cell_length_a 5.512
_cell_length_b 5.512
_cell_length_c 4.876
_cell_angle_alpha 90.00
_cell_angle_beta 90.00
_cell_angle_gamma 90.00
_symmetry_space_group_name_H-M 'P 4/m m m'
_symmetry_Int_Tables_number 123
_symmetry_space_group_name_Hall '-P 4 2'
loop_
_atom_site_label
_atom_site_fract_x
_atom_site_fract_y
_atom_site_fract_z
Li1 0.000 0.000 0.000
La1 0.000 0.500 0.500
Bi1 0.500 0.500 0.000
Ir1 0.000 0.000 0.500
# total moment = 0.000 μB per atom
# ΔE_f = -0.6207 eV per atom